1.
Material: MgFe2Ir
Method: DFT, GGA-PBE
State: relaxed

a = 3.036 Å, b = 4.199 Å, c = 4.308 Å
α = 90.00°, β = 90.00°, γ = 90.00°
Each line ends with the local moment (μB).
Atoms (fractional coordinates):
Fe 0.000 0.000 0.000  2.74
Fe 0.500 0.500 0.000  2.66
Ir 0.500 0.000 0.500  0.31
Mg 0.000 0.500 0.500  -0.03

* calculated total energy: -6.83 eV/atom

2.
Material: MgFe2Ir
Method: DFT, GGA-PBE
State: relaxed

a = 4.659 Å, b = 4.659 Å, c = 2.706 Å
α = 90.00°, β = 90.00°, γ = 111.11°
Each line ends with the local moment (μB).
Atoms (fractional coordinates):
Fe 0.000 0.000 0.000  2.49
Fe 0.500 0.500 0.000  2.49
Ir 0.500 0.000 0.500  0.21
Mg 0.000 0.500 0.500  -0.05

* calculated total energy: -6.80 eV/atom

no.,E_form (eV per atom)
1,0.012
2,0.045